## RbBaTc2 (PBE)

Data for a relaxed RbBaTc2 crystal.

Results
Final energy = -63.581 eV/cell
Formation enthalpy at 0 K = 1.9318 eV per atom
Energy relative to the lowest polymorph listed for this composition = 22.9 meV/atom
Crystal system = tetragonal

Structure (CIF):
```
data_RbBaTc2
_chemical_formula_sum 'Rb4 Ba4 Tc8'
_cell_length_a 9.0203
_cell_length_b 9.0203
_cell_length_c 6.1383
_cell_angle_alpha 90.00
_cell_angle_beta 90.00
_cell_angle_gamma 90.00
_space_group_name_H-M_alt 'I -4 2 d'
_space_group_IT_number 122
_space_group_name_Hall 'I -4 2bw'
loop_
_atom_site_label
_atom_site_type_symbol
_atom_site_fract_x
_atom_site_fract_y
_atom_site_fract_z
Rb1 Rb 0.0000 0.0000 0.0000
Ba1 Ba 0.0000 0.0000 0.5000
Tc1 Tc 0.2440 0.2500 0.6250
```